Record 1
A plane-wave DFT calculation with SCAN was carried out for a PBEsol-optimized structure of CeZr4O10.

Unit cell a=3.623 b=3.623 c=25.759 alpha=90.00 beta=90.00 gamma=90.00
Space group I4/mmm (No. 139)
Unique sites:
Ce 0.000 0.000 0.000 x2
Zr 0.000 0.000 0.201 x4
Zr 0.000 0.000 0.397 x4
O 0.000 0.500 0.054 x8
O 0.000 0.500 0.152 x8
O 0.000 0.500 0.250 x4

Record 2
A plane-wave DFT calculation with SCAN was carried out for a PBEsol-optimized structure of CeZr7O16.

Unit cell a=7.240 b=7.240 c=5.190 alpha=90.00 beta=90.00 gamma=90.00
Space group P-4m2 (No. 115)
Unique sites:
Ce 0.000 0.000 0.000 x1
Zr 0.000 0.500 0.998 x2
Zr 0.253 0.253 0.500 x4
Zr 0.500 0.500 0.000 x1
O 0.000 0.248 0.706 x4
O 0.000 0.267 0.223 x4
O 0.243 0.500 0.798 x4
O 0.269 0.500 0.298 x4

Output
* relative energy among the computed polymorphs: 0.22 eV per formula unit

Record 3
A plane-wave DFT calculation with SCAN was carried out for a PBEsol-optimized structure of Ce3Zr5O16.

Unit cell a=10.384 b=10.488 c=5.255 alpha=90.00 beta=90.00 gamma=90.00
Space group C222 (No. 21)
Unique sites:
Ce 0.000 0.000 0.000 x2
Ce 0.000 0.256 0.500 x4
Zr 0.000 0.500 0.000 x2
Zr 0.249 0.000 0.500 x4
Zr 0.250 0.250 0.002 x4
O 0.122 0.362 0.199 x8
O 0.123 0.398 0.717 x8
O 0.131 0.140 0.774 x8
O 0.132 0.113 0.276 x8

Record 4
A plane-wave DFT calculation with SCAN was carried out for a PBEsol-optimized structure of CeZr3O8.

Unit cell a=3.651 b=7.266 c=10.458 alpha=90.00 beta=90.00 gamma=90.00
Space group Amm2 (No. 38)
Unique sites:
Ce 0.000 0.000 0.000 x2
Zr 0.000 0.000 0.505 x2
Zr 0.500 0.245 0.252 x4
O 0.000 0.239 0.392 x4
O 0.000 0.241 0.649 x4
O 0.500 0.000 0.119 x2
O 0.500 0.000 0.357 x2
O 0.500 0.000 0.602 x2
O 0.500 0.000 0.852 x2

Output
* relative energy among the computed polymorphs: 0.18 eV per formula unit

Computed values of DFT total energy (unit: eV per cell) for the preceding records, in sequence: -570.933 -449.183 -953.364 -462.613.
Computed values of formation energy without anion corrections (unit: eV per atom) for the preceding records, in sequence: -3.720 -3.751 -3.742 -3.733.